(1)
LaTaBe2 (GGA-PBE, relaxed); formation enthalpy at 0 K = 332 meV/atom
1.0
4.388 -0.011 0.019
2.858 3.329 0.019
1.895 0.868 5.301
Be La Ta
2 1 1
Cartesian
7.342 3.362 0.895
4.474 2.049 1.814
6.855 3.139 4.005
2.285 1.046 1.335

---

(2)
SmPu2Ge3Pt4 (GGA-PBE, relaxed); formation enthalpy at 0 K = -724 meV/atom
1.0
-3.051 0.289 -2.930
-0.782 -4.147 0.405
-7.715 2.261 8.259
Sm Pu Ge Pt
1 2 3 4
Cartesian
-5.774 -0.799 2.867
-3.284 0.660 0.417
-6.348 -0.328 6.579
-3.858 1.130 4.129
-8.294 2.128 5.780
-1.338 -1.796 1.217
-1.917 -1.929 -1.262
0.000 0.000 0.000
-6.655 1.648 4.026
-2.977 -1.316 2.970

---

(3)
Mg2CrTe (GGA-PBE, relaxed); raw formation energy = 95 meV per atom
1.0
-4.112 -1.108 3.844
-5.073 -1.921 -1.868
5.549 -1.240 -0.764
Cr Mg Te
1 2 1
Cartesian
-1.577 -1.931 2.034
0.000 0.000 0.000
-4.592 -1.515 0.988
-2.058 -2.338 -0.822

---

D(E_F)? In order: 3.323 28.264 2.143 states/eV/f.u..
Raw total energy? In order: -0.210 -0.289 -0.143 hartree per atom.